An optimized crystal structure of AgMo2IF, computed with PBE+U.

Cell: 5.691 4.324 5.691 Å, 90.00 90.00 90.00°
Each line ends with the local moment (μB).
Positions (direct):
I: 0.500 0.500 0.500  -0.01
Mo: 0.000 0.000 0.500  4.11
Mo: 0.500 0.000 0.000  4.16
Ag: 0.000 0.000 0.000  0.10
F: 0.000 0.500 0.000  0.07

## Properties
E_tot in eV per atom: -3.5065
Spin magnetization in μB per formula unit: 9.99